Computed, not measured: an optimized crystal structure of Rb3U2PdS6 at the PBE-GGA level of DFT.

a b c (Å): 6.801 12.395 7.943
angles (deg): 90.00 105.79 90.00
Space group C2/m (No. 12)
One atom of each set of equivalent atoms:
Rb 0.000 0.000 0.000 [2 per cell]
Rb 0.000 0.347 0.000 [4 per cell]
U 0.000 0.164 0.500 [4 per cell]
Pd 0.000 0.500 0.500 [2 per cell]
S 0.229 0.000 0.676 [4 per cell]
S 0.245 0.315 0.699 [8 per cell]

## Properties
theoretical density	5316	kg/m3
uncorrected formation energy	-1344.3	kJ/mol of formula units
N(E_F)	12.56	states/eV/f.u.
volume	26.845	Å³/atom
uncorrected energy	-69.37	eV/f.u.